1.
Compound: SiIrPt
Source: the Alexandria database
Functional: SCAN
Structure: PBEsol geometry

For the energy relative to the lowest polymorph listed for this composition, the calculation gives 0.000 eV per atom. For the total energy, the calculation gives -51.28 eV/atom. The value obtained for the size of the total moment is 0.00 μB/f.u.

The structure belongs to space group F-43m (No. 216); the cell edges are 5.6196, 5.6196 and 5.6196 Å and the angles 90.00°, 90.00° and 90.00°. The asymmetric unit holds Si at (0.0000, 0.0000, 0.0000), Ir at (0.2500, 0.2500, 0.7500) and Pt at (0.2500, 0.2500, 0.2500).

=====

2.
Compound: ReMoCl
Source: the Alexandria database
Functional: SCAN
Structure: PBEsol geometry

For the energy relative to the lowest polymorph listed for this composition, the calculation gives 0.000 eV per atom. For the total energy, the calculation gives -37.52 eV/atom. The value obtained for the size of the total moment is 0.00 μB/f.u.

The structure belongs to space group Fmm2 (No. 42); the cell edges are 3.0411, 4.9236 and 13.0412 Å and the angles 90.00°, 90.00° and 90.00°. The asymmetric unit holds Re at (0.0000, 0.0000, 0.0000), Mo at (0.0000, 0.0000, 0.6462) and Cl at (0.0000, 0.0000, 0.3086).

=====

3.
Compound: LiMg2S
Source: the Alexandria database
Functional: SCAN
Structure: PBEsol geometry

For the total energy, the calculation gives -6.05 eV/atom. The value obtained for the size of the total moment is 0.00 μB/f.u.

The structure belongs to space group I-42d (No. 122); the cell edges are 8.5975, 8.5975 and 4.7733 Å and the angles 90.00°, 90.00° and 90.00°. The asymmetric unit holds Li at (0.0000, 0.0000, 0.0000), Mg at (0.1482, 0.7500, 0.6250) and S at (0.0000, 0.0000, 0.5000).

=====

Number 1: E_form (uncorrected) -839 meV/atom. Number 2: E_form (uncorrected) 471 meV/atom. Number 3: E_form (uncorrected) -558 meV/atom.